A relaxed CsAlRe2 crystal. Source: Alexandria via LeMat-Bulk, functional PBE-GGA.

Results
- formation energy (eV per formula unit) = 6.2

Cell: 4.5855 4.5855 9.7705 Å, 76.43 76.43 90.00°
Sites, in units of the cell vectors:
1 Re 0.3750 0.7411 0.7500
2 Re 0.2589 0.1250 0.2500
3 Re 0.4911 0.6250 0.2500
4 Re 0.8750 0.5089 0.7500
5 Cs 0.0000 0.0000 0.0000
6 Cs 0.7500 0.2500 0.5000
7 Al 0.2500 0.7500 0.5000
8 Al 0.5000 0.5000 0.0000

A relaxed Cs3AlRe crystal. Source: Alexandria via LeMat-Bulk, functional PBE-GGA.

Results
- relative energy among the computed polymorphs (meV/atom) = 0.0
- formation energy (eV per formula unit) = 8.3

Cell: 7.1483 7.1483 7.1483 Å, 90.00 90.00 90.00°
Each line ends with the local moment (μB).
Sites, in units of the cell vectors:
1 Cs 0.0000 0.0000 0.5000  0.00
2 Cs 0.5000 0.0000 0.0000  0.00
3 Cs 0.0000 0.5000 0.0000  0.00
4 Re 0.5000 0.5000 0.5000  3.67
5 Al 0.0000 0.0000 0.0000  -0.01

A relaxed CsAl2ReS crystal. Source: Alexandria via LeMat-Bulk, functional PBE-GGA.

Results
- E_form (uncorrected) (eV per atom) = 2.67

Cell: 6.0121 5.3213 6.0121 Å, 90.00 90.00 90.00°
Each line ends with the local moment (μB).
Sites, in units of the cell vectors:
1 Al 0.5000 0.0000 0.0000  -0.04
2 Al 0.0000 0.0000 0.5000  -0.01
3 S 0.5000 0.5000 0.5000  0.21
4 Re 0.0000 0.5000 0.0000  2.67
5 Cs 0.0000 0.0000 0.0000  0.00

A relaxed Cs2AlRh crystal. Source: Alexandria via LeMat-Bulk, functional PBE-GGA.

Results
- formation energy (eV per formula unit) = 0.9

Cell: 9.5050 9.5050 9.5050 Å, 93.51 93.51 151.35°
Sites, in units of the cell vectors:
1 Al 0.7500 0.2500 0.5000
2 Al 0.5000 0.5000 0.0000
3 Cs 0.6250 0.9448 0.8198
4 Cs 0.1250 0.8052 0.1802
5 Cs 0.0552 0.8750 0.6802
6 Cs 0.1948 0.3750 0.3198
7 Rh 0.2500 0.7500 0.5000
8 Rh 0.0000 0.0000 0.0000

A relaxed CsAl2Rh2 crystal. Source: Alexandria via LeMat-Bulk, functional PBE-GGA.

Results
- formation energy (eV per formula unit) = -1.4

Cell: 4.5103 4.5103 7.4354 Å, 72.34 72.34 90.00°
Sites, in units of the cell vectors:
1 Cs 0.0000 0.0000 0.0000
2 Rh 0.7500 0.2500 0.5000
3 Rh 0.2500 0.7500 0.5000
4 Al 0.6883 0.6883 0.6235
5 Al 0.3117 0.3117 0.3765

A relaxed CsTa2AlRh crystal. Source: Alexandria via LeMat-Bulk, functional PBE-GGA.

Results
- formation energy (eV per formula unit) = 14.3

Cell: 5.1010 4.8223 5.1010 Å, 90.00 90.00 90.00°
Sites, in units of the cell vectors:
1 Al 0.5000 0.5000 0.5000
2 Cs 0.0000 0.0000 0.0000
3 Ta 0.0000 0.0000 0.5000
4 Ta 0.5000 0.0000 0.0000
5 Rh 0.0000 0.5000 0.0000

A relaxed CsAl2Ru crystal. Source: Alexandria via LeMat-Bulk, functional PBE-GGA.

Results
- relative energy among the computed polymorphs (meV/atom) = 850.7
- formation energy (eV per formula unit) = 4.4

Cell: 4.9965 4.9965 4.9965 Å, 60.00 60.00 60.00°
Sites, in units of the cell vectors:
1 Cs 0.5000 0.5000 0.5000
2 Al 0.2500 0.2500 0.2500
3 Al 0.7500 0.7500 0.7500
4 Ru 0.0000 0.0000 0.0000

A relaxed Cs3AlRu crystal. Source: Alexandria via LeMat-Bulk, functional PBE-GGA.

Results
- relative energy among the computed polymorphs (meV/atom) = 0.0
- formation energy (eV per formula unit) = 5.7

Cell: 6.0123 6.0123 6.0123 Å, 90.00 90.00 90.00°
Sites, in units of the cell vectors:
1 Cs 0.5000 0.0000 0.0000
2 Cs 0.0000 0.0000 0.5000
3 Cs 0.0000 0.5000 0.0000
4 Ru 0.0000 0.0000 0.0000
5 Al 0.5000 0.5000 0.5000

A relaxed CsAl2Ru crystal. Source: Alexandria via LeMat-Bulk, functional PBE-GGA.

Results
- relative energy among the computed polymorphs (meV/atom) = 0.0
- formation energy (eV per formula unit) = 1.0

Cell: 7.2611 7.2611 7.7067 Å, 61.89 61.89 90.00°
Sites, in units of the cell vectors:
1 Ru 0.2500 0.7500 0.5000
2 Ru 0.5000 0.5000 0.0000
3 Cs 0.7500 0.2500 0.5000
4 Cs 0.0000 0.0000 0.0000
5 Al 0.8750 0.6249 0.7500
6 Al 0.3749 0.1250 0.2500
7 Al 0.3751 0.6250 0.2500
8 Al 0.3750 0.6251 0.7500

A relaxed CsAlRu2 crystal. Source: Alexandria via LeMat-Bulk, functional PBE-GGA.

Results
- formation energy (eV per formula unit) = 3.8

Cell: 4.9079 4.9079 9.5678 Å, 75.14 75.14 90.00°
Sites, in units of the cell vectors:
1 Cs 0.7500 0.2500 0.5000
2 Cs 0.0000 0.0000 0.0000
3 Ru 0.8750 0.6179 0.7500
4 Ru 0.3750 0.6321 0.7500
5 Ru 0.3821 0.6250 0.2500
6 Ru 0.3679 0.1250 0.2500
7 Al 0.5000 0.5000 0.0000
8 Al 0.2500 0.7500 0.5000

A relaxed CsAlS3 crystal. Source: Alexandria via LeMat-Bulk, functional PBE-GGA.

Results
- relative energy among the computed polymorphs (meV/atom) = 2256.6
- E_form (uncorrected) (eV per atom) = 1.21

Cell: 5.6533 5.6533 5.6533 Å, 90.00 90.00 90.00°
Each line ends with the local moment (μB).
Sites, in units of the cell vectors:
1 S 0.0000 0.0000 0.5000  0.25
2 S 0.0000 0.5000 0.0000  0.42
3 S 0.5000 0.0000 0.0000  0.32
4 Cs 0.0000 0.0000 0.0000  0.03
5 Al 0.5000 0.5000 0.5000  0.00

A relaxed Cs3AlS crystal. Source: Alexandria via LeMat-Bulk, functional PBE-GGA.

Results
- relative energy among the computed polymorphs (meV/atom) = 0.0
- E_form (uncorrected) (eV per atom) = -0.15

Cell: 6.7762 6.7762 6.7762 Å, 90.00 90.00 90.00°
Each line ends with the local moment (μB).
Sites, in units of the cell vectors:
1 Cs 0.5000 0.0000 0.0000  0.01
2 Cs 0.0000 0.5000 0.0000  0.02
3 Cs 0.0000 0.0000 0.5000  0.02
4 S 0.0000 0.0000 0.0000  0.03
5 Al 0.5000 0.5000 0.5000  0.18

A relaxed CsAlS3 crystal. Source: Alexandria via LeMat-Bulk, functional PBE-GGA.

Results
- relative energy among the computed polymorphs (meV/atom) = 563.1
- E_form (uncorrected) (eV per atom) = -0.48

Cell: 4.8736 4.8736 4.8736 Å, 90.00 90.00 90.00°
Sites, in units of the cell vectors:
1 Cs 0.5000 0.5000 0.5000
2 S 0.0000 0.0000 0.5000
3 S 0.5000 0.0000 0.0000
4 S 0.0000 0.5000 0.0000
5 Al 0.0000 0.0000 0.0000

A relaxed CsAl2S2 crystal. Source: Alexandria via LeMat-Bulk, functional PBE-GGA.

Results
- relative energy among the computed polymorphs (meV/atom) = 0.0
- E_form (uncorrected) (eV per atom) = -0.56

Cell: 4.8355 4.8355 6.0701 Å, 66.53 66.53 90.00°
Sites, in units of the cell vectors:
1 S 0.7500 0.2500 0.5000
2 S 0.2500 0.7500 0.5000
3 Al 0.6572 0.6572 0.6856
4 Al 0.3428 0.3428 0.3144
5 Cs 0.0000 0.0000 0.0000

A relaxed CsAlS2 crystal. Source: Alexandria via LeMat-Bulk, functional PBE-GGA.

Results
- E_form (uncorrected) (eV per atom) = -1.14

Cell: 3.9637 10.6653 15.3827 Å, 90.00 90.00 90.00°
Sites, in units of the cell vectors:
1 S 0.2500 0.0173 0.7144
2 S 0.7500 0.4827 0.2144
3 S 0.2500 0.8666 0.4859
4 S 0.7500 0.6334 0.9859
5 S 0.7500 0.9827 0.2856
6 S 0.2500 0.3666 0.0141
7 S 0.7500 0.1334 0.5141
8 S 0.2500 0.5173 0.7856
9 Al 0.7500 0.9579 0.4226
10 Al 0.7500 0.4579 0.0774
11 Al 0.2500 0.5421 0.9226
12 Al 0.2500 0.0421 0.5774
13 Cs 0.2500 0.2521 0.3011
14 Cs 0.7500 0.2479 0.8011
15 Cs 0.7500 0.7479 0.6989
16 Cs 0.2500 0.7521 0.1989

A relaxed Cs6AlS4 crystal. Source: Alexandria via LeMat-Bulk, functional PBE-GGA.

Results
- E_form (uncorrected) (eV per atom) = -1.07

Cell: 8.4200 10.9532 10.9532 Å, 120.00 90.00 90.00°
Sites, in units of the cell vectors:
1 Cs 0.6411 0.9357 0.4679
2 Cs 0.1411 0.4679 0.9357
3 Cs 0.9545 0.8622 0.1378
4 Cs 0.6411 0.5321 0.0643
5 Cs 0.9545 0.2757 0.1378
6 Cs 0.4545 0.7243 0.8622
7 Cs 0.1411 0.0643 0.5321
8 Cs 0.9545 0.8622 0.7243
9 Cs 0.6411 0.5321 0.4679
10 Cs 0.4545 0.1378 0.8622
11 Cs 0.1411 0.4679 0.5321
12 Cs 0.4545 0.1378 0.2757
13 S 0.9662 0.6667 0.3333
14 S 0.8321 0.2176 0.4353
15 S 0.4662 0.3333 0.6667
16 S 0.8321 0.2176 0.7824
17 S 0.8321 0.5647 0.7824
18 S 0.3321 0.7824 0.2176
19 S 0.3321 0.4353 0.2176
20 S 0.3321 0.7824 0.5647
21 Al 0.7431 0.3333 0.6667
22 Al 0.2431 0.6667 0.3333

A relaxed CsAl2S2 crystal. Source: Alexandria via LeMat-Bulk, functional PBE-GGA.

Results
- relative energy among the computed polymorphs (meV/atom) = 356.9
- E_form (uncorrected) (eV per atom) = -0.20

Cell: 8.9026 8.9026 3.4093 Å, 90.00 90.00 90.00°
Sites, in units of the cell vectors:
1 S 0.3816 0.8816 0.0000
2 S 0.1184 0.3816 0.0000
3 S 0.6184 0.1184 0.0000
4 S 0.8816 0.6184 0.0000
5 Cs 0.0000 0.0000 0.0000
6 Cs 0.5000 0.5000 0.0000
7 Al 0.8941 0.3941 0.5000
8 Al 0.3941 0.1059 0.5000
9 Al 0.1059 0.6059 0.5000
10 Al 0.6059 0.8941 0.5000

A relaxed CsAlS3 crystal. Source: Alexandria via LeMat-Bulk, functional PBE-GGA.

Results
- relative energy among the computed polymorphs (meV/atom) = 0.0
- E_form (uncorrected) (eV per atom) = -1.04

Cell: 6.4927 7.6149 7.6149 Å, 114.95 102.02 102.02°
Sites, in units of the cell vectors:
1 S 0.4350 0.9191 0.0671
2 S 0.6415 0.0289 0.7037
3 S 0.9350 0.0671 0.9191
4 S 0.5719 0.5166 0.6563
5 S 0.0719 0.6563 0.5166
6 S 0.1415 0.7037 0.0289
7 Al 0.4238 0.7704 0.7300
8 Al 0.9238 0.7300 0.7704
9 Cs 0.5264 0.4453 0.1205
10 Cs 0.0264 0.1205 0.4453

A relaxed Cs4AlS4 crystal. Source: Alexandria via LeMat-Bulk, functional PBE-GGA.

Results
- E_form (uncorrected) (eV per atom) = -0.92

Cell: 6.9125 7.9564 7.9564 Å, 79.12 64.25 64.25°
Each line ends with the local moment (μB).
Sites, in units of the cell vectors:
1 Al 0.0000 0.0000 0.0000  -0.01
2 S 0.7826 0.2872 0.1477  0.14
3 S 0.9303 0.8523 0.2872  0.14
4 S 0.0697 0.1477 0.7128  0.14
5 S 0.2174 0.7128 0.8523  0.14
6 Cs 0.7929 0.6233 0.7910  0.00
7 Cs 0.4161 0.7910 0.3767  0.00
8 Cs 0.5839 0.2090 0.6233  0.00
9 Cs 0.2071 0.3767 0.2090  0.00

A relaxed Cs5AlS4 crystal. Source: Alexandria via LeMat-Bulk, functional PBE-GGA.

Results
- E_form (uncorrected) (eV per atom) = -1.13

Cell: 8.2260 10.4683 9.5856 Å, 90.00 90.00 90.00°
Sites, in units of the cell vectors:
1 S 0.9520 0.3163 0.5000
2 S 0.3670 0.0000 0.2002
3 S 0.6330 0.5000 0.7002
4 S 0.0480 0.1837 0.0000
5 S 0.0480 0.8163 0.0000
6 S 0.6330 0.5000 0.2998
7 S 0.3670 0.0000 0.7998
8 S 0.9520 0.6837 0.5000
9 Cs 0.8782 0.5000 0.0000
10 Cs 0.2689 0.6908 0.7368
11 Cs 0.7311 0.1908 0.7632
12 Cs 0.7311 0.8092 0.7632
13 Cs 0.7311 0.1908 0.2368
14 Cs 0.2689 0.3092 0.2632
15 Cs 0.2689 0.3092 0.7368
16 Cs 0.2689 0.6908 0.2632
17 Cs 0.7311 0.8092 0.2368
18 Cs 0.1218 0.0000 0.5000
19 Al 0.7926 0.5000 0.5000
20 Al 0.2074 0.0000 0.0000

Calculated calculated volume, 193.8 365.3 192.3 399.0 136.6 125.5 88.2 217.3 303.0 214.8 180.7 311.1 115.8 117.3 650.3 874.8 270.2 314.7 355.0 825.4 Å³/cell (same order as the records).